# Ho2Ga2Co15 PBE-GGA relaxed
# Energy of formation = -12.7 kJ per mole of atoms
# Total energy = -372.882 eV per cell
# N(E_F) = 22.41 states/eV/f.u.
# Size of the total moment = 62.3 Bohr magnetons per cell
data_Ho2Ga2Co15
_chemical_formula_sum 'Ho6 Ga6 Co45'
_symmetry_space_group_name_H-M 'R -3 m'
_symmetry_Int_Tables_number 166
_symmetry_space_group_name_Hall '-R 3 2"'
_cell_length_a 8.3460
_cell_length_b 8.3460
_cell_length_c 12.2033
_cell_angle_alpha 90.00
_cell_angle_beta 90.00
_cell_angle_gamma 120.00
loop_
_atom_site_label
_atom_site_fract_x
_atom_site_fract_y
_atom_site_fract_z
Ho1 0.0000 0.0000 0.1490
Ga1 0.0000 0.0000 0.3930
Co1 0.0000 0.2895 0.5000
Co2 0.0000 0.5000 0.0000
Co3 0.0028 0.5014 0.6494

***

# Ho8GaCo2 PBE-GGA relaxed
# Energy of formation = -12.3 kJ per mole of atoms
# Total energy = -110.523 eV per cell
# N(E_F) = 11.81 states/eV/f.u.
# Size of the total moment = 0.0 Bohr magnetons per cell
data_Ho8GaCo2
_chemical_formula_sum 'Ho16 Ga2 Co4'
_symmetry_space_group_name_H-M 'C 1 2/m 1'
_symmetry_Int_Tables_number 12
_cell_length_a 8.492
_cell_length_b 12.894
_cell_length_c 5.301
_cell_angle_alpha 90.00
_cell_angle_beta 104.27
_cell_angle_gamma 90.00
loop_
_symmetry_equiv_pos_as_xyz
'x,y,z'
'-x,-y,-z'
'-x,y,-z'
'x,-y,z'
'x+1/2,y+1/2,z'
'-x+1/2,-y+1/2,-z'
'-x+1/2,y+1/2,-z'
'x+1/2,-y+1/2,z'
loop_
_atom_site_label
_atom_site_fract_x
_atom_site_fract_y
_atom_site_fract_z
Ho1 0.000 0.243 0.000
Ho2 0.119 0.500 0.805
Ho3 0.200 0.131 0.578
Ga1 0.000 0.000 0.000
Co1 0.000 0.307 0.500